Entry 1:
! K2Cd5AgAu2 | Alexandria | PBE | relaxed; values from VASP
! DFT formation energy in eV per atom: -0.112
&SYSTEM
  ibrav = 0, nat = 20, ntyp = 4
/
ATOMIC_SPECIES
K 39.10 K.upf
Cd 112.41 Cd.upf
Ag 107.87 Ag.upf
Au 196.97 Au.upf
CELL_PARAMETERS angstrom
11.234 0.000 0.000
0.000 11.234 0.000
0.000 0.000 4.069
ATOMIC_POSITIONS crystal
K 0.174 0.326 0.000
K 0.326 0.826 0.000
K 0.674 0.174 0.000
K 0.826 0.674 0.000
Cd 0.000 0.500 0.500
Cd 0.060 0.806 0.500
Cd 0.194 0.060 0.500
Cd 0.306 0.560 0.500
Cd 0.440 0.306 0.500
Cd 0.500 0.000 0.500
Cd 0.560 0.694 0.500
Cd 0.694 0.440 0.500
Cd 0.806 0.940 0.500
Cd 0.940 0.194 0.500
Ag 0.000 0.000 0.000
Ag 0.500 0.500 0.000
Au 0.127 0.627 0.000
Au 0.373 0.127 0.000
Au 0.627 0.873 0.000
Au 0.873 0.373 0.000

=====

Entry 2:
! Pu4SnGe | Alexandria | PBE | relaxed; values from VASP
! DFT formation energy in eV per atom: -0.122
&SYSTEM
  ibrav = 0, nat = 12, ntyp = 3
/
ATOMIC_SPECIES
Pu 244.00 Pu.upf
Sn 118.71 Sn.upf
Ge 72.64 Ge.upf
CELL_PARAMETERS angstrom
5.064 0.000 0.000
0.000 6.505 0.000
0.000 0.000 8.872
ATOMIC_POSITIONS crystal
Pu 0.000 0.246 0.166
Pu 0.000 0.246 0.834
Pu 0.000 0.754 0.166
Pu 0.000 0.754 0.834
Pu 0.500 0.254 0.334
Pu 0.500 0.254 0.666
Pu 0.500 0.746 0.334
Pu 0.500 0.746 0.666
Sn 0.000 0.000 0.500
Sn 0.500 0.500 0.000
Ge 0.000 0.500 0.500
Ge 0.500 0.000 0.000

=====

Entry 3:
! La3CeGe2 | Alexandria | PBE | relaxed; values from VASP
! DFT formation energy in eV per atom: -0.604
! E above lowest polymorph in meV per atom: 0.0
&SYSTEM
  ibrav = 0, nat = 12, ntyp = 3
/
ATOMIC_SPECIES
La 138.91 La.upf
Ce 140.12 Ce.upf
Ge 72.64 Ge.upf
CELL_PARAMETERS angstrom
-3.178 8.598 3.169
3.178 -8.598 3.169
3.178 8.598 -3.169
ATOMIC_POSITIONS crystal
La 0.181 0.749 0.931
La 0.250 0.250 0.000
La 0.319 0.249 0.568
La 0.681 0.751 0.432
La 0.750 0.750 0.000
La 0.819 0.251 0.069
Ce 0.250 0.750 0.500
Ce 0.750 0.250 0.500
Ge 0.133 0.256 0.389
Ge 0.367 0.756 0.123
Ge 0.633 0.244 0.877
Ge 0.867 0.744 0.611

=====

Entry 4:
! Nd6Ho8Zr | Alexandria | PBE | relaxed; values from VASP
! DFT formation energy in eV per atom: 0.128
&SYSTEM
  ibrav = 0, nat = 15, ntyp = 3
/
ATOMIC_SPECIES
Nd 144.24 Nd.upf
Ho 164.93 Ho.upf
Zr 91.22 Zr.upf
CELL_PARAMETERS angstrom
4.534 2.618 6.868
-4.534 2.618 6.868
0.000 -5.235 6.868
ATOMIC_POSITIONS crystal
Nd 0.042 0.724 0.604
Nd 0.276 0.396 0.958
Nd 0.396 0.958 0.276
Nd 0.604 0.042 0.724
Nd 0.724 0.604 0.042
Nd 0.958 0.276 0.396
Ho 0.077 0.077 0.077
Ho 0.218 0.256 0.612
Ho 0.256 0.612 0.218
Ho 0.388 0.782 0.744
Ho 0.612 0.218 0.256
Ho 0.744 0.388 0.782
Ho 0.782 0.744 0.388
Ho 0.923 0.923 0.923
Zr 0.500 0.500 0.500

=====

Entry 5:
! K4Pu3ScTe8 | Alexandria | PBE | relaxed; values from VASP
! Formation energy from raw total energies in eV/atom: -1.14
&SYSTEM
  ibrav = 0, nat = 16, ntyp = 4
/
ATOMIC_SPECIES
K 39.10 K.upf
Pu 244.00 Pu.upf
Sc 44.96 Sc.upf
Te 127.60 Te.upf
CELL_PARAMETERS angstrom
4.511 2.605 8.179
-4.511 2.605 8.179
0.000 -5.209 8.179
ATOMIC_POSITIONS crystal
K 0.000 0.000 0.000
K 0.000 0.500 0.500
K 0.500 0.000 0.500
K 0.500 0.500 0.000
Pu 0.000 0.000 0.500
Pu 0.000 0.500 0.000
Pu 0.500 0.000 0.000
Sc 0.500 0.500 0.500
Te 0.237 0.237 0.237
Te 0.248 0.728 0.728
Te 0.272 0.272 0.752
Te 0.272 0.752 0.272
Te 0.728 0.248 0.728
Te 0.728 0.728 0.248
Te 0.752 0.272 0.272
Te 0.763 0.763 0.763

=====

Entry 6:
! Ca3RuSe | Alexandria | PBE | relaxed; values from VASP
! Formation energy from raw total energies in eV/atom: -0.23
! E above lowest polymorph in meV per atom: 0.0
&SYSTEM
  ibrav = 0, nat = 5, ntyp = 3
/
ATOMIC_SPECIES
Ca 40.08 Ca.upf
Ru 101.07 Ru.upf
Se 78.96 Se.upf
CELL_PARAMETERS angstrom
5.306 0.000 0.000
0.000 5.306 0.000
0.000 0.000 5.306
ATOMIC_POSITIONS crystal
Ca 0.000 0.000 0.500
Ca 0.000 0.500 0.000
Ca 0.500 0.000 0.000
Ru 0.000 0.000 0.000
Se 0.500 0.500 0.500

=====

Entry 7:
! AsP2S | Alexandria | PBE | relaxed; values from VASP
! Formation energy from raw total energies in eV/atom: 0.72
! E above lowest polymorph in meV per atom: 231.8
&SYSTEM
  ibrav = 0, nat = 16, ntyp = 3
/
ATOMIC_SPECIES
As 74.92 As.upf
P 30.97 P.upf
S 32.06 S.upf
CELL_PARAMETERS angstrom
6.341 0.000 0.000
0.000 6.341 0.000
0.000 0.000 6.341
ATOMIC_POSITIONS crystal
As 0.000 0.000 0.000
As 0.000 0.500 0.500
As 0.500 0.000 0.500
As 0.500 0.500 0.000
P 0.250 0.250 0.250
P 0.250 0.250 0.750
P 0.250 0.750 0.250
P 0.250 0.750 0.750
P 0.750 0.250 0.250
P 0.750 0.250 0.750
P 0.750 0.750 0.250
P 0.750 0.750 0.750
S 0.000 0.000 0.500
S 0.000 0.500 0.000
S 0.500 0.000 0.000
S 0.500 0.500 0.500

=====

Entry 8:
! ReSnAsBr2 | Alexandria | PBE | relaxed; values from VASP
! Formation energy from raw total energies in eV/atom: 1.37
! E above lowest polymorph in meV per atom: 822.4
&SYSTEM
  ibrav = 0, nat = 5, ntyp = 4
/
ATOMIC_SPECIES
Re 186.21 Re.upf
Sn 118.71 Sn.upf
As 74.92 As.upf
Br 79.90 Br.upf
CELL_PARAMETERS angstrom
5.479 0.000 0.000
0.000 5.479 0.000
0.000 0.000 5.597
ATOMIC_POSITIONS crystal
Re 0.000 0.000 0.000
Sn 0.000 0.000 0.500
As 0.500 0.500 0.000
Br 0.000 0.500 0.500
Br 0.500 0.000 0.500

=====

Entry 9:
! BeBi2S | Alexandria | PBE | relaxed; values from VASP
! Formation energy from raw total energies in eV/atom: 0.52
! E above lowest polymorph in meV per atom: 182.6
&SYSTEM
  ibrav = 0, nat = 16, ntyp = 3
/
ATOMIC_SPECIES
Be 9.01 Be.upf
Bi 208.98 Bi.upf
S 32.06 S.upf
CELL_PARAMETERS angstrom
7.097 0.000 0.000
0.000 7.097 0.000
0.000 0.000 7.097
ATOMIC_POSITIONS crystal
Be 0.000 0.000 0.000
Be 0.000 0.500 0.500
Be 0.500 0.000 0.500
Be 0.500 0.500 0.000
Bi 0.250 0.250 0.250
Bi 0.250 0.250 0.750
Bi 0.250 0.750 0.250
Bi 0.250 0.750 0.750
Bi 0.750 0.250 0.250
Bi 0.750 0.250 0.750
Bi 0.750 0.750 0.250
Bi 0.750 0.750 0.750
S 0.000 0.000 0.500
S 0.000 0.500 0.000
S 0.500 0.000 0.000
S 0.500 0.500 0.500

=====

Entry 10:
! BP2PtS | Alexandria | PBE | relaxed; values from VASP
! Formation energy from raw total energies in eV/atom: 0.75
! E above lowest polymorph in meV per atom: 0.0
&SYSTEM
  ibrav = 0, nat = 5, ntyp = 4
/
ATOMIC_SPECIES
B 10.81 B.upf
P 30.97 P.upf
Pt 195.08 Pt.upf
S 32.06 S.upf
CELL_PARAMETERS angstrom
4.061 0.000 0.000
0.000 4.061 0.000
0.000 0.000 4.107
ATOMIC_POSITIONS crystal
B 0.000 0.000 0.000
P 0.000 0.500 0.000
P 0.500 0.000 0.000
Pt 0.500 0.500 0.500
S 0.000 0.000 0.500

=====

Entry 11:
! Pm5NdDy3 | Alexandria | PBE | relaxed; values from VASP
! DFT formation energy in eV per atom: 0.283
! E above lowest polymorph in meV per atom: 113.4
&SYSTEM
  ibrav = 0, nat = 18, ntyp = 3
/
ATOMIC_SPECIES
Pm 145.00 Pm.upf
Nd 144.24 Nd.upf
Dy 162.50 Dy.upf
CELL_PARAMETERS angstrom
-4.252 4.252 8.436
4.252 -4.252 8.436
4.252 4.252 -8.436
ATOMIC_POSITIONS crystal
Pm 0.000 0.000 0.000
Pm 0.063 0.563 0.901
Pm 0.162 0.063 0.500
Pm 0.338 0.838 0.901
Pm 0.437 0.338 0.500
Pm 0.500 0.500 0.000
Pm 0.563 0.662 0.500
Pm 0.662 0.162 0.099
Pm 0.838 0.937 0.500
Pm 0.937 0.437 0.099
Nd 0.250 0.750 0.500
Nd 0.750 0.250 0.500
Dy 0.124 0.376 0.500
Dy 0.250 0.250 0.000
Dy 0.376 0.876 0.252
Dy 0.624 0.124 0.748
Dy 0.750 0.750 0.000
Dy 0.876 0.624 0.500

=====

Entry 12:
! ThNi4Sn | Alexandria | PBE | relaxed; values from VASP
! DFT formation energy in eV per atom: -0.348
&SYSTEM
  ibrav = 0, nat = 12, ntyp = 3
/
ATOMIC_SPECIES
Th 232.04 Th.upf
Ni 58.69 Ni.upf
Sn 118.71 Sn.upf
CELL_PARAMETERS angstrom
2.004 -8.502 0.000
2.004 8.502 0.000
0.000 0.000 5.664
ATOMIC_POSITIONS crystal
Th 0.092 0.908 0.750
Th 0.908 0.092 0.250
Ni 0.074 0.926 0.250
Ni 0.352 0.648 0.545
Ni 0.352 0.648 0.955
Ni 0.500 0.500 0.000
Ni 0.500 0.500 0.500
Ni 0.648 0.352 0.045
Ni 0.648 0.352 0.455
Ni 0.926 0.074 0.750
Sn 0.233 0.767 0.250
Sn 0.767 0.233 0.750

=====

| no. | magnetization (Bohr magnetons per cell) |
| --- | --- |
| 1 | 0.00 |
| 2 | 48.19 |
| 3 | 2.81 |
| 4 | 0.00 |
| 5 | 15.00 |
| 6 | 0.00 |
| 7 | 0.00 |
| 8 | 4.06 |
| 9 | 0.00 |
| 10 | 0.00 |
| 11 | 0.00 |
| 12 | 0.00 |